This record from Alexandria via LeMat-Bulk describes a geometry-optimized Li4Mn5Ni2O12 structure. The functional is GGA+U.

Structure (POSCAR):
```
Li4Mn5Ni2O12
1.0
-3.9206 7.9454 0.9427
-4.4084 -2.3442 1.4237
1.2842 -0.5202 9.7257
Li O Mn Ni
8 24 10 4
direct
0.0901 0.9938 0.2578
0.9162 0.4842 0.2627
0.4162 0.5158 0.7373
0.5784 0.4999 0.2601
0.0784 0.5001 0.7399
0.0722 0.2492 0.5059
0.5901 0.0062 0.7422
0.5722 0.7508 0.4941
0.9294 0.5932 0.8949
0.0970 0.3598 0.1334
0.5702 0.3658 0.6171
0.7516 0.8498 0.6171
0.2516 0.1502 0.3829
0.5765 0.1376 0.3897
0.6036 0.8601 0.1224
0.3970 0.9004 0.6225
0.0765 0.8624 0.6103
0.4005 0.5847 0.3830
0.4273 0.1126 0.8963
0.7428 0.1649 0.8773
0.0702 0.6342 0.3829
0.2529 0.6617 0.8747
0.9005 0.4153 0.6170
0.5970 0.6402 0.8666
0.9273 0.8874 0.1037
0.2565 0.3528 0.6261
0.7529 0.3383 0.1253
0.1036 0.1399 0.8776
0.4294 0.4068 0.1051
0.2428 0.8351 0.1227
0.8970 0.0996 0.3775
0.7565 0.6472 0.3739
0.0873 0.7436 0.9982
0.9299 0.2408 0.9976
0.2366 0.0088 0.7407
0.4299 0.7592 0.0024
0.5873 0.2564 0.0018
0.9162 0.7556 0.4999
0.2455 0.4859 0.2599
0.7366 0.9912 0.2593
0.4162 0.2444 0.5001
0.7455 0.5141 0.7401
0.7437 0.2469 0.5052
0.2586 0.2438 0.0078
0.7586 0.7562 0.9922
0.2437 0.7531 0.4948
```

Calculated values
The density comes out at 4.5 g/cm3. The value obtained for the total magnetization is 23.0 μB/f.u. The calculation puts the total DFT energy (no corrections) at -6.372 eV per atom.